## PmPr2Nd2Y2 (GGA-PBE)

Data for a geometry-optimized PmPr2Nd2Y2 structure.

a b c (Å): 11.5488 5.1713 8.1869
angles (deg): 90.00 98.05 90.00
Space group C2/m (No. 12)
One atom of each set of equivalent atoms:
Pm (0.0000, 0.0000, 0.0000) (multiplicity 2)
Pr (0.0713, 0.5000, 0.7168) (multiplicity 4)
Nd (0.1432, 0.0000, 0.4285) (multiplicity 4)
Y (0.2145, 0.5000, 0.1413) (multiplicity 4)

Results
- Formation enthalpy at 0 K: 0.01 eV per atom
- Magnetization: 0.00 μB per cell
- Volume: 484 Å³/cell
- DOS at the Fermi energy: 20.4 states/eV per cell


## Fe2AgTe (GGA-PBE)

Data for a geometry-optimized Fe2AgTe structure.

a b c (Å): 3.1711 3.1711 6.9914
angles (deg): 90.00 90.00 90.00
Space group P4mm (No. 99)
One atom of each set of equivalent atoms:
Fe (0.0000, 0.0000, 0.0000) (multiplicity 1)
Fe (0.5000, 0.5000, 0.1653) (multiplicity 1)
Ag (0.5000, 0.5000, 0.7633) (multiplicity 1)
Te (0.0000, 0.0000, 0.3954) (multiplicity 1)

Results
- Magnetization: 5.06 μB per cell
- Volume: 70 Å³/cell
- DOS at the Fermi energy: 3.1 states/eV per cell
- Formation energy from raw total energies: 0.310 eV per atom


## Sr12Bi5P2 (GGA-PBE)

Data for a geometry-optimized Sr12Bi5P2 structure.

a b c (Å): 18.4681 8.7510 10.6730
angles (deg): 90.00 106.36 90.00
Space group C2/m (No. 12)
One atom of each set of equivalent atoms:
Sr (0.0014, 0.0000, 0.2006) (multiplicity 4)
Sr (0.0169, 0.5000, 0.8198) (multiplicity 4)
Sr (0.1473, 0.2459, 0.5710) (multiplicity 8)
Sr (0.1690, 0.2319, 0.0884) (multiplicity 8)
Bi (0.0000, 0.5000, 0.5000) (multiplicity 2)
Bi (0.1897, 0.0000, 0.8349) (multiplicity 4)
Bi (0.1976, 0.0000, 0.3575) (multiplicity 4)
P (0.0000, 0.2510, 0.0000) (multiplicity 4)

Results
- Formation enthalpy at 0 K: -0.83 eV per atom
- Magnetization: 4.30 μB per cell
- Volume: 1655 Å³/cell
- DOS at the Fermi energy: 14.0 states/eV per cell


## Er2HgRu (GGA-PBE)

Data for a geometry-optimized Er2HgRu structure.

a b c (Å): 3.6551 3.6551 25.0857
angles (deg): 90.00 90.00 120.00
Space group R-3m (No. 166, hexagonal axes)
One atom of each set of equivalent atoms:
Er (0.0000, 0.0000, 0.2375) (multiplicity 6)
Hg (0.0000, 0.0000, 0.0000) (multiplicity 3)
Ru (0.0000, 0.0000, 0.5000) (multiplicity 3)

Results
- Distance to the lowest polymorph of the same formula: 241.9 meV per atom
- Formation enthalpy at 0 K: -0.28 eV per atom
- Magnetization: 0.00 μB per cell
- Volume: 290 Å³/cell
- DOS at the Fermi energy: 12.8 states/eV per cell